(a)
DFT (GGA-PBEsol) results for a relaxed AgAs2Ir crystal.

Results
- Calculated volume: 65.24 Å³ per cell

Lattice parameters (Å, degrees): 4.519 4.519 4.519 60.00 60.00 60.00
Element x y z (fractional)
1 Ag 0.000 0.000 0.000
2 As 0.250 0.250 0.250
3 As 0.500 0.500 0.500
4 Ir 0.750 0.750 0.750

(b)
DFT (GGA-PBEsol) results for a relaxed AgAs2Ir crystal.

Results
- Calculated volume: 68.68 Å³ per cell

Lattice parameters (Å, degrees): 2.927 2.927 8.016 90.00 90.00 90.00
Element x y z (fractional)
1 Ag 0.000 0.000 0.000
2 As 0.000 0.000 0.568
3 As 0.500 0.500 0.242
4 Ir 0.500 0.500 0.743

The least stable of them is (a).

(a)
DFT (GGA-PBEsol) results for a relaxed KAgAs2 crystal.

Results
- Calculated volume: 83.84 Å³ per cell

Lattice parameters (Å, degrees): 4.327 4.327 4.478 90.00 90.00 90.00
Element x y z (fractional)
1 K 0.000 0.000 0.000
2 Ag 0.500 0.500 0.000
3 As 0.000 0.500 0.500
4 As 0.500 0.000 0.500

(b)
DFT (GGA-PBEsol) results for a relaxed KAgAs2 crystal.

Results
- Calculated volume: 83.48 Å³ per cell

Lattice parameters (Å, degrees): 4.915 4.915 4.915 120.36 120.36 89.38
Element x y z (fractional)
1 K 0.000 0.000 0.000
2 Ag 0.500 0.500 0.000
3 As 0.250 0.750 0.500
4 As 0.750 0.250 0.500

(c)
DFT (GGA-PBEsol) results for a relaxed KAgAs2 crystal.

Results
- Calculated volume: 95.18 Å³ per cell

Lattice parameters (Å, degrees): 3.552 3.552 7.543 90.00 90.00 90.00
Element x y z (fractional)
1 K 0.000 0.000 0.000
2 Ag 0.500 0.500 0.331
3 As 0.000 0.000 0.543
4 As 0.500 0.500 0.683

The least stable of them is (b).

(a)
DFT (GGA-PBEsol) results for a relaxed LiAgAs2 crystal.

Results
- Calculated volume: 68.69 Å³ per cell

Lattice parameters (Å, degrees): 2.742 2.742 9.139 90.00 90.00 90.00
Element x y z (fractional)
1 Li 0.000 0.000 0.000
2 Ag 0.500 0.500 0.229
3 As 0.000 0.000 0.469
4 As 0.500 0.500 0.788

(b)
DFT (GGA-PBEsol) results for a relaxed LiAgAs2 crystal.

Results
- Calculated volume: 146.51 Å³ per cell

Lattice parameters (Å, degrees): 5.877 5.877 5.877 101.95 101.95 125.86
Element x y z (fractional)
1 Li 0.000 0.000 0.000
2 Li 0.750 0.250 0.500
3 Ag 0.250 0.750 0.500
4 Ag 0.500 0.500 0.000
5 As 0.147 0.125 0.522
6 As 0.375 0.853 0.978
7 As 0.603 0.625 0.478
8 As 0.875 0.397 0.022

(c)
DFT (GGA-PBEsol) results for a relaxed LiAgAs2 crystal.

Results
- Calculated volume: 68.67 Å³ per cell

Lattice parameters (Å, degrees): 4.130 5.893 5.893 28.61 90.00 90.00
Element x y z (fractional)
1 Li 0.000 0.000 0.000
2 Ag 0.000 0.257 0.257
3 As 0.500 0.416 0.416
4 As 0.500 0.639 0.639

The least stable of them is (b).

(a)
DFT (GGA-PBEsol) results for a relaxed MnAgAs crystal.

Results
- Calculated volume: 53.33 Å³ per cell

Lattice parameters (Å, degrees): 4.225 4.225 4.225 60.00 60.00 60.00
Element x y z (fractional)
1 Mn 0.000 0.000 0.000
2 Ag 0.750 0.750 0.750
3 As 0.250 0.250 0.250

(b)
DFT (GGA-PBEsol) results for a relaxed MnAgAs crystal.

Results
- Calculated volume: 47.49 Å³ per cell

Lattice parameters (Å, degrees): 2.899 2.899 6.527 90.00 90.00 120.00
Element x y z (fractional)
1 Mn 0.000 0.000 0.000
2 Ag 0.333 0.667 0.668
3 As 0.667 0.333 0.287

The least stable of them is (b).

(a)
DFT (GGA-PBEsol) results for a relaxed AgAsPt crystal.

Results
- Calculated volume: 49.03 Å³ per cell

Lattice parameters (Å, degrees): 4.403 4.403 2.921 90.00 90.00 120.00
Element x y z (fractional)
1 Ag 0.000 0.000 0.000
2 As 0.333 0.667 0.500
3 Pt 0.667 0.333 0.500

(b)
DFT (GGA-PBEsol) results for a relaxed AgAsPt crystal.

Results
- Calculated volume: 56.19 Å³ per cell

Lattice parameters (Å, degrees): 4.299 4.299 4.299 60.00 60.00 60.00
Element x y z (fractional)
1 Ag 0.000 0.000 0.000
2 As 0.500 0.500 0.500
3 Pt 0.250 0.250 0.250

The least stable of them is (b).

(a)
DFT (GGA-PBEsol) results for a relaxed AgAs2Ru crystal.

Results
- Calculated volume: 68.57 Å³ per cell

Lattice parameters (Å, degrees): 6.584 6.584 6.584 154.50 145.99 42.99
Element x y z (fractional)
1 Ag 0.000 0.000 0.000
2 As 0.340 0.840 0.500
3 As 0.618 0.618 0.000
4 Ru 0.782 0.282 0.500

(b)
DFT (GGA-PBEsol) results for a relaxed AgAs2Ru crystal.

Results
- Calculated volume: 72.07 Å³ per cell

Lattice parameters (Å, degrees): 6.075 6.075 6.075 152.80 135.03 53.35
Element x y z (fractional)
1 Ag 0.000 0.000 0.000
2 As 0.316 0.816 0.500
3 As 0.684 0.184 0.500
4 Ru 0.500 0.500 0.000

The least stable of them is (b).

(a)
DFT (GGA-PBEsol) results for a relaxed AgSbAs2 crystal.

Results
- Calculated volume: 80.69 Å³ per cell

Lattice parameters (Å, degrees): 4.850 4.850 4.850 60.00 60.00 60.00
Element x y z (fractional)
1 Ag 0.000 0.000 0.000
2 Sb 0.500 0.500 0.500
3 As 0.250 0.250 0.250
4 As 0.750 0.750 0.750

(b)
DFT (GGA-PBEsol) results for a relaxed AgSbAs2 crystal.

Results
- Calculated volume: 83.69 Å³ per cell

Lattice parameters (Å, degrees): 2.927 3.761 7.603 90.00 90.98 90.00
Element x y z (fractional)
1 Ag 0.000 0.000 0.000
2 Sb 0.507 0.500 0.753
3 As 0.494 0.500 0.222
4 As 0.495 0.000 0.463

The least stable of them is (a).

(a)
DFT (GGA-PBEsol) results for a relaxed AgSb2As crystal.

Results
- Calculated volume: 87.47 Å³ per cell

Lattice parameters (Å, degrees): 4.932 4.932 4.932 117.77 117.77 93.90
Element x y z (fractional)
1 Ag 0.000 0.000 0.000
2 Sb 0.250 0.750 0.500
3 Sb 0.750 0.250 0.500
4 As 0.500 0.500 0.000

(b)
DFT (GGA-PBEsol) results for a relaxed AgSb2As crystal.

Results
- Calculated volume: 236.87 Å³ per cell

Lattice parameters (Å, degrees): 7.535 7.535 7.535 131.22 131.22 71.47
Element x y z (fractional)
1 Ag 0.000 0.000 0.000
2 Ag 0.750 0.250 0.500
3 Sb 0.121 0.625 0.996
4 Sb 0.375 0.371 0.496
5 Sb 0.629 0.125 0.004
6 Sb 0.875 0.879 0.504
7 As 0.250 0.750 0.500
8 As 0.500 0.500 0.000

The least stable of them is (a).